VASP calculation (PBE) on a relaxed Ho2LuMg crystal.

Properties
- E: -3.79 eV per atom

Cell: 3.4740 3.4740 33.4092 Å, 90.00 90.00 120.00°
Space group R-3m (No. 166, hexagonal axes)
One atom of each set of equivalent atoms:
Ho (0.0000, 0.0000, 0.2485) [6 per cell]
Lu (0.0000, 0.0000, 0.0000) [3 per cell]
Mg (0.0000, 0.0000, 0.5000) [3 per cell]